[1]
## K2LiNbTe4 (GGA-PBE)

Data for crystalline K2LiNbTe4 at its relaxed geometry.

Output
Mass density: 4.08 g cm⁻³
Space-group type: No. 121
E_form (uncorrected): -5.9 eV per formula unit
Total moment: 0.00 μB per cell

Unit cell a=7.3207 b=7.1868 c=7.1868 alpha=74.97 beta=59.38 gamma=59.38
Fractional positions:
K  0.0000  0.5000  0.5000
K  0.5000  0.5000  0.5000
Li  0.0000  0.0000  0.0000
Nb  0.5000  0.0000  0.0000
Te  0.1097  0.3383  0.0000
Te  0.8903  0.0000  0.6617
Te  0.5521  0.0000  0.3383
Te  0.4479  0.6617  0.0000

[2]
## MnSb2Pb (GGA-PBE)

Data for crystalline MnSb2Pb at its relaxed geometry.

Output
Mass density: 8.11 g cm⁻³
Space-group type: No. 119
E_form (uncorrected): 1.4 eV per formula unit
DOS(E_F): 2.497 states/eV per cell
Total moment: 4.00 μB per cell

Unit cell a=6.1146 b=6.1146 c=6.1146 alpha=137.39 beta=137.39 gamma=61.83
Fractional positions:
Mn  0.5000  0.5000  0.0000
Pb  0.7500  0.2500  0.5000
Sb  0.0000  0.0000  0.0000
Sb  0.2500  0.7500  0.5000

[3]
## LaPm5Nd4 (GGA-PBE)

Data for crystalline LaPm5Nd4 at its relaxed geometry.

Output
Offset from the most stable computed form: 113 meV per atom
Mass density: 6.76 g cm⁻³
Energy of formation: 130 meV/atom
Space-group type: No. 12
DOS(E_F): 17.441 states/eV per cell
Total moment: 0.00 μB per cell

Unit cell a=3.5241 b=6.9710 c=14.6234 alpha=97.24 beta=96.92 gamma=90.00
Fractional positions:
La  0.5000  0.0000  0.0000
Pm  0.2024  0.6012  0.4048
Pm  0.2062  0.1020  0.4123
Pm  0.7938  0.8980  0.5877
Pm  0.5000  0.5000  0.0000
Pm  0.7976  0.3988  0.5952
Nd  0.6083  0.8049  0.2165
Nd  0.9048  0.6955  0.8097
Nd  0.3917  0.1951  0.7835
Nd  0.0952  0.3045  0.1903

[4]
## In2Sn3Br8 (GGA-PBE)

Data for crystalline In2Sn3Br8 at its relaxed geometry.

Output
Offset from the most stable computed form: 4 meV per atom
Mass density: 3.98 g cm⁻³
Space-group type: No. 12
E_form (uncorrected): -9.5 eV per formula unit
DOS(E_F): 0.000 states/eV per cell
Total moment: 0.00 μB per cell

Unit cell a=7.5482 b=8.8212 c=8.8212 alpha=60.59 beta=89.87 gamma=89.87
Fractional positions:
In  0.4956  0.7245  0.7245
In  0.5044  0.2755  0.2755
Sn  0.5000  0.0000  0.0000
Sn  0.0000  0.7438  0.2562
Sn  0.0000  0.2562  0.7438
Br  0.8613  0.3896  0.3896
Br  0.1387  0.6104  0.6104
Br  0.8270  0.8863  0.8863
Br  0.1730  0.1137  0.1137
Br  0.6743  0.3477  0.8812
Br  0.6743  0.8812  0.3477
Br  0.3257  0.1188  0.6523
Br  0.3257  0.6523  0.1188

[5]
## Na2AcSbTe4 (GGA-PBE)

Data for crystalline Na2AcSbTe4 at its relaxed geometry.

Output
Mass density: 5.37 g cm⁻³
Space-group type: No. 10
E_form (uncorrected): -7.2 eV per formula unit
Total moment: 0.00 μB per cell

Unit cell a=4.6193 b=8.0107 c=8.0250 alpha=109.41 beta=90.00 gamma=90.00
Fractional positions:
Na  0.5000  0.0000  0.5000
Na  0.0000  0.5000  0.5000
Ac  0.5000  0.5000  0.0000
Sb  0.0000  0.0000  0.0000
Te  0.5000  0.2280  0.2351
Te  0.5000  0.7720  0.7649
Te  0.0000  0.2346  0.7554
Te  0.0000  0.7654  0.2446

[6]
## NaNi2H8 (GGA-PBE)

Data for crystalline NaNi2H8 at its relaxed geometry.

Output
Mass density: 3.44 g cm⁻³
Total DFT energy (no corrections): -3.55 eV per atom
Space-group type: No. 12
DOS(E_F): 1.304 states/eV per cell
Total moment: 0.00 μB per cell

Unit cell a=3.6832 b=4.6299 c=4.6299 alpha=114.84 beta=90.06 gamma=90.06
Fractional positions:
Na  0.5000  0.0000  0.0000
Ni  0.0000  0.3259  0.6741
Ni  0.0000  0.6741  0.3259
H  0.9984  0.9759  0.6730
H  0.9984  0.6730  0.9759
H  0.2472  0.5016  0.5016
H  0.5000  0.6711  0.3289
H  0.5000  0.3289  0.6711
H  0.7528  0.4984  0.4984
H  0.0016  0.3270  0.0241
H  0.0016  0.0241  0.3270